Computed, not measured: Cr3SbW after structural relaxation at the PBE level of DFT.

Mass density ... 7.21 g cm⁻³
Energy relative to the elements, uncorrected ... 1342 meV/atom
SG ... Pm-3m
Uncorrected energy ... -7.847 eV/atom
Energy above the most stable polymorph in this dataset ... 0.0000 eV/atom
Crystal system ... cubic

a = 4.7365 Å, b = 4.7365 Å, c = 4.7365 Å
α = 90.00°, β = 90.00°, γ = 90.00°
With the nearest neighbours (Å) after each atom.
Sites, in units of the cell vectors:
Cr 0.0000 0.0000 0.5000  2 W 2.37
Cr 0.5000 0.0000 0.0000  2 W 2.37
Cr 0.0000 0.5000 0.0000  2 W 2.37
W 0.0000 0.0000 0.0000  6 Cr 2.37
Sb 0.5000 0.5000 0.5000  12 Cr 3.35